Density functional theory data (PBE) for a relaxed Hf3Cd3Pb crystal.

Results
Formation energy from the elements, eV per atom: 0.198
Raw total energy, eV per cell: -209.6
Crystal system: trigonal

Cell lengths 6.2220, 6.2220, 31.2937 Å; angles 90.00, 90.00, 120.00 degrees
With the nearest neighbours (Å) after each atom.
Space group R-3m (No. 166, hexagonal axes)
Unique sites:
1 Hf 0.0011 0.5005 0.2066 x18  6 Hf 3.07-3.12, 3 Pb 3.11-3.16, 2 Cd 3.26
2 Cd 0.0022 0.5011 0.6270 x18  6 Cd 3.06-3.13, 1 Pb 3.19, 2 Hf 3.26
3 Pb 0.0000 0.0000 0.2096 x6  9 Hf 3.11-3.16, 3 Cd 3.19

Density functional theory data (PBE) for a relaxed Ag2Pt crystal.

Results
Formation energy from the elements, eV per atom: 0.009
Raw total energy, eV per cell: -46.9
Crystal system: monoclinic

Cell lengths 7.0901, 2.8578, 10.0301 Å; angles 90.00, 90.54, 90.00 degrees
With the nearest neighbours (Å) after each atom.
Space group P2_1/m (No. 11)
Unique sites:
1 Ag 0.0039 0.2500 0.3729 x2  11 Ag 2.86-2.92, 1 Pt 2.89
2 Ag 0.0075 0.7500 0.1231 x2  7 Ag 2.85-2.88, 5 Pt 2.88-2.92
3 Ag 0.3309 0.2500 0.5475 x2  10 Ag 2.84-2.97, 2 Pt 2.89
4 Ag 0.3413 0.7500 0.2876 x2  8 Ag 2.84-2.97, 4 Pt 2.89-2.90
5 Pt 0.3265 0.7500 0.7980 x2  5 Pt 2.79-2.88, 7 Ag 2.88-2.89
6 Pt 0.3399 0.2500 0.0364 x2  7 Pt 2.79-2.88, 5 Ag 2.90-2.92

Density functional theory data (PBE) for a relaxed Ac2Ga3Ag2 crystal.

Results
Formation energy from the elements, eV per atom: -0.397
Raw total energy, eV per cell: -51.6
Crystal system: monoclinic

Cell lengths 11.0800, 4.7856, 6.8816 Å; angles 90.00, 109.14, 90.00 degrees
With the nearest neighbours (Å) after each atom.
Space group C2/m (No. 12)
Unique sites:
1 Ac 0.1538 0.0000 0.2704 x4  5 Ag 3.29-3.46, 8 Ga 3.34-3.64
2 Ga 0.0000 0.5000 0.5000 x2  2 Ga 2.68
3 Ga 0.0892 0.5000 0.9125 x4  2 Ga 2.63-2.68, 2 Ag 2.75
4 Ag 0.1511 0.0000 0.7722 x4  3 Ga 2.75-2.98

Density functional theory data (PBE) for a relaxed W5Se crystal.

Results
Formation energy without anion corrections, eV/f.u.: 2.08
Raw total energy, eV per cell: -132.3
Crystal system: orthorhombic

Cell lengths 3.1460, 13.5852, 4.5207 Å; angles 90.00, 90.00, 90.00 degrees
With the nearest neighbours (Å) after each atom.
Space group Cmmm (No. 65)
Unique sites:
1 W 0.0000 0.0000 0.0000 x2  4 Se 2.75, 4 W 2.78
2 W 0.0000 0.1672 0.5000 x4  6 W 2.74-2.75, 2 Se 2.76
3 W 0.0000 0.3315 0.0000 x4  8 W 2.72-2.78
4 Se 0.0000 0.5000 0.5000 x2  8 W 2.75-2.76